Record 1
Rb2HoPaSe4: optimized geometry, PBE.

Output
The calculation puts the calculated density at 5.90 g cm⁻³. Its uncorrected formation energy is -11.927 eV per formula unit. Its electronic total energy is -0.38471 Ry/atom. For the magnetic moment, the calculation gives 1.96 Bohr magnetons per cell.

Cell and atoms, written as CIF:
```
data_Rb2HoPaSe4
_cell_length_a 7.337
_cell_length_b 4.192
_cell_length_c 8.425
_cell_angle_alpha 90.00
_cell_angle_beta 106.53
_cell_angle_gamma 90.00
_space_group_name_H-M_alt 'P 1 2/m 1'
_space_group_IT_number 10
loop_
_space_group_symop_operation_xyz
'x,y,z'
'-x,-y,-z'
'-x,y,-z'
'x,-y,z'
loop_
_atom_site_label
_atom_site_type_symbol
_atom_site_fract_x
_atom_site_fract_y
_atom_site_fract_z
Rb1 Rb 0.000 0.000 0.000
Rb2 Rb 0.500 0.500 0.000
Ho1 Ho 0.000 0.500 0.500
Pa1 Pa 0.500 0.000 0.500
Se1 Se 0.231 0.000 0.697
Se2 Se 0.263 0.500 0.300
```

=====

Record 2
MnZn4Se: optimized geometry, PBE.

Output
The calculation puts the calculated density at 6.63 g cm⁻³. Its uncorrected formation energy is 1.515 eV per formula unit. Its electronic total energy is -0.19887 Ry/atom. For the magnetic moment, the calculation gives 15.29 Bohr magnetons per cell.

Cell and atoms, written as CIF:
```
data_MnZn4Se
_cell_length_a 7.345
_cell_length_b 7.345
_cell_length_c 7.345
_cell_angle_alpha 90.00
_cell_angle_beta 90.00
_cell_angle_gamma 90.00
_space_group_name_H-M_alt 'F -4 3 m'
_space_group_IT_number 216
_space_group_name_Hall 'F -4 2 3'
loop_
_atom_site_label
_atom_site_type_symbol
_atom_site_fract_x
_atom_site_fract_y
_atom_site_fract_z
Mn1 Mn 0.000 0.000 0.000
Zn1 Zn 0.126 0.126 0.374
Se1 Se 0.250 0.250 0.750
```